Density functional theory data (PBE) for a relaxed structure of YSnIO2.

a = 4.2580 Å, b = 4.2580 Å, c = 5.9869 Å
α = 90.00°, β = 90.00°, γ = 90.00°
Last column: nearest neighbours and their distance in Å.
Space group P4/mmm (No. 123)
Inequivalent atoms, fractional coordinates:
Y 0.0000 0.0000 0.0000 [1 per cell]  4 I 3.01
Sn 0.5000 0.5000 0.5000 [1 per cell]  4 O 2.13
I 0.5000 0.5000 0.0000 [1 per cell]  2 Sn 2.99, 4 Y 3.01
O 0.0000 0.5000 0.5000 [2 per cell]  2 Sn 2.13

## Properties
Formation energy from raw total energies   -0.64 eV/atom

Density functional theory data (PBE) for a relaxed structure of YSnIO2.

a = 4.4723 Å, b = 4.4723 Å, c = 6.0217 Å
α = 90.00°, β = 90.00°, γ = 90.00°
Last column: nearest neighbours and their distance in Å.
Space group P4/mmm (No. 123)
Inequivalent atoms, fractional coordinates:
Y 0.0000 0.0000 0.0000 [1 per cell]  4 O 2.24
Sn 0.5000 0.5000 0.5000 [1 per cell]  4 I 3.16
I 0.0000 0.0000 0.5000 [1 per cell]  2 Y 3.01, 4 Sn 3.16
O 0.0000 0.5000 0.0000 [2 per cell]  2 Y 2.24

## Properties
Formation energy from raw total energies   -1.22 eV/atom

Density functional theory data (PBE) for a relaxed structure of ZnSnI2O.

a = 6.0716 Å, b = 6.0716 Å, c = 4.0358 Å
α = 90.00°, β = 90.00°, γ = 90.00°
Last column: nearest neighbours and their distance in Å.
Space group P4/mmm (No. 123)
Inequivalent atoms, fractional coordinates:
Zn 0.0000 0.0000 0.0000 [1 per cell]  8 I 3.65, 2 Zn 4.04
Sn 0.5000 0.5000 0.5000 [1 per cell]  2 O 2.02
I 0.0000 0.5000 0.5000 [2 per cell]  2 Sn 3.04
O 0.5000 0.5000 0.0000 [1 per cell]  2 Sn 2.02

## Properties
Formation energy from raw total energies   -0.23 eV/atom

no.,energy above the most stable polymorph in this dataset (eV per formula unit)
1,2.86
2,0.00
3,0.42